A.
AlFe3Pb: relaxed, PBE-GGA.

a b c (Å): 4.912 4.912 4.912
angles (deg): 90.00 90.00 90.00
Last column: magnetic moment on the atom in μB.
Element x y z (fractional)
Pb 0.000 0.000 0.000  -0.05
Fe 0.000 0.500 0.000  2.94
Fe 0.000 0.000 0.500  3.18
Fe 0.500 0.000 0.000  2.80
Al 0.500 0.500 0.500  0.02

Results
V = 118.5 Å³ per cell
ρ = 5.63 g/cm3
D(E_F) = 8.444 states/eV/cell
Crystal system = cubic
Space group = Pm-3m, No. 221


B.
AlFe3Pb: relaxed, PBE-GGA.

a b c (Å): 4.449 4.449 4.449
angles (deg): 90.00 90.00 90.00
Last column: magnetic moment on the atom in μB.
Element x y z (fractional)
Pb 0.500 0.500 0.500  -0.03
Fe 0.000 0.500 0.000  2.36
Fe 0.000 0.000 0.500  2.55
Fe 0.500 0.000 0.000  2.27
Al 0.000 0.000 0.000  -0.10

Results
V = 88.0 Å³ per cell
ρ = 7.58 g/cm3
D(E_F) = 10.016 states/eV/cell
Crystal system = cubic
Space group = Pm-3m, No. 221


Stability, highest: B


A.
AlFePd3: relaxed, PBE-GGA.

a b c (Å): 4.593 4.593 4.593
angles (deg): 90.00 90.00 90.00
Last column: magnetic moment on the atom in μB.
Element x y z (fractional)
Fe 0.000 0.000 0.000  3.07
Pd 0.000 0.500 0.000  0.30
Pd 0.000 0.000 0.500  0.48
Pd 0.500 0.000 0.000  0.12
Al 0.500 0.500 0.500  0.00

Results
V = 96.9 Å³ per cell
ρ = 6.89 g/cm3
D(E_F) = 4.737 states/eV/cell
Crystal system = cubic
Space group = Pm-3m, No. 221


B.
AlFePd3: relaxed, PBE-GGA.

a b c (Å): 4.499 4.499 4.499
angles (deg): 90.00 90.00 90.00
Last column: magnetic moment on the atom in μB.
Element x y z (fractional)
Fe 0.500 0.500 0.500  -0.23
Pd 0.000 0.500 0.000  0.00
Pd 0.000 0.000 0.500  -0.02
Pd 0.500 0.000 0.000  0.00
Al 0.000 0.000 0.000  0.00

Results
V = 91.0 Å³ per cell
ρ = 7.33 g/cm3
D(E_F) = 12.221 states/eV/cell
Crystal system = cubic
Space group = Pm-3m, No. 221


Stability, highest: A